# 1
TcBiRh | PBE-GGA | relaxed

Cell and atoms, written as extended XYZ:
```
3
Lattice="3.101 0.000 0.000 -1.550 2.685 0.000 0.000 0.000 6.702" Properties=species:S:1:pos:R:3 pbc="T T T"
Tc 0.000 0.000 0.000
Bi 0.000 1.790 4.308
Rh 1.550 0.895 1.912
```

Results
volume = 55.81 Å³ per cell
E above lowest polymorph = 0.47 eV/f.u.
energy relative to the elements = 0.532 eV per atom

=====

# 2
Pr4Hg3Bi | PBE-GGA | relaxed

Cell and atoms, written as extended XYZ:
```
8
Lattice="8.393 -2.730 0.000 8.393 2.730 0.000 -1.772 0.000 5.165" Properties=species:S:1:pos:R:3 pbc="T T T"
Pr 1.910 0.000 0.657
Pr 5.597 0.000 1.926
Pr 9.418 0.000 3.239
Pr 13.105 0.000 4.507
Hg -0.886 0.000 2.582
Hg 2.773 0.000 3.840
Hg 12.242 0.000 1.324
Bi 8.393 0.000 0.000
```

Results
volume = 236.69 Å³ per cell
energy relative to the elements = -0.546 eV per atom

=====

# 3
Na2LaBr2 | PBE-GGA | relaxed

Cell and atoms, written as extended XYZ:
```
10
Lattice="8.990 0.000 0.000 0.000 8.990 0.000 0.000 0.000 3.652" Properties=species:S:1:pos:R:3 pbc="T T T"
Na 1.135 3.360 0.000
Na 3.360 7.856 0.000
Na 5.630 1.135 0.000
Na 7.856 5.630 0.000
La 0.000 0.000 0.000
La 4.495 4.495 0.000
Br 1.527 6.022 1.826
Br 2.968 1.527 1.826
Br 6.022 7.463 1.826
Br 7.463 2.968 1.826
```

Results
raw formation energy = -14.4 kcal/mol of atoms
volume = 295.22 Å³ per cell
E above lowest polymorph = 0.46 eV/f.u.

=====

# 4
AcAl2Pt | PBE-GGA | relaxed

Cell and atoms, written as extended XYZ:
```
8
Lattice="4.259 0.000 0.000 0.000 7.295 0.000 -2.115 0.000 5.864" Properties=species:S:1:pos:R:3 pbc="T T T"
Ac 0.005 1.824 0.628
Ac 2.139 5.471 5.236
Al 0.008 0.437 3.838
Al 0.008 3.210 3.838
Al 2.135 4.085 2.027
Al 2.135 6.858 2.027
Pt 0.006 5.471 2.602
Pt 2.138 1.824 3.262
```

Results
volume = 182.20 Å³ per cell
E above lowest polymorph = 0.00 eV/f.u.
energy relative to the elements = -0.888 eV per atom

=====

# 5
BaNdGaN2 | PBE-GGA | relaxed

Cell and atoms, written as extended XYZ:
```
10
Lattice="5.996 0.000 0.000 0.000 5.355 0.000 -0.002 0.000 7.181" Properties=species:S:1:pos:R:3 pbc="T T T"
Ba -0.001 0.010 1.795
Ba -0.002 5.345 5.386
Nd 2.997 2.680 1.795
Nd 2.996 2.676 5.386
Ga 2.998 0.000 0.000
Ga 2.997 0.000 3.590
N 1.800 1.464 0.000
N 1.799 3.891 3.591
N 4.195 1.464 3.590
N 4.194 3.891 7.181
```

Results
raw formation energy = -9.6 kcal/mol of atoms
volume = 230.59 Å³ per cell

=====

# 6
CaCo2Au | PBE-GGA | relaxed

Cell and atoms, written as extended XYZ:
```
4
Lattice="2.969 0.000 0.000 0.000 3.914 0.000 0.000 0.000 6.041" Properties=species:S:1:pos:R:3 pbc="T T T"
Ca 0.000 0.000 0.000
Co 1.485 1.957 1.893
Co 1.485 1.957 4.148
Au 0.000 0.000 3.021
```

Results
volume = 70.22 Å³ per cell
energy relative to the elements = 0.312 eV per atom

=====

# 7
AcFe9B4 | PBE-GGA | relaxed

Cell and atoms, written as extended XYZ:
```
28
Lattice="-3.741 3.741 5.477 3.741 -3.741 5.477 3.741 3.741 -5.477" Properties=species:S:1:pos:R:3 pbc="T T T"
Ac 0.000 0.000 2.738
Ac 0.000 0.000 8.215
Fe 3.741 0.000 0.000
Fe 2.751 -0.990 2.040
Fe 5.987 0.552 0.000
Fe 4.730 -0.990 3.437
Fe 0.552 1.494 0.000
Fe 4.293 2.247 0.000
Fe 4.730 0.990 2.040
Fe 2.247 3.188 0.000
Fe 2.751 0.990 3.437
Fe 0.000 3.741 0.000
Fe 0.990 2.751 2.040
Fe 1.494 0.552 5.477
Fe -0.990 2.751 3.437
Fe -0.552 1.494 5.477
Fe 3.188 2.247 5.477
Fe -0.990 4.730 2.040
Fe -2.247 3.188 5.477
Fe 0.990 4.730 3.437
B 2.490 1.250 -1.213
B 2.490 -1.250 4.264
B 2.490 1.250 1.213
B 2.490 -1.250 6.690
B 1.250 4.991 -1.213
B 1.250 2.490 4.264
B 1.250 4.991 1.213
B 1.250 2.490 6.690
```

Results
volume = 306.51 Å³ per cell
energy relative to the elements = 0.048 eV per atom

=====

# 8
Ti2In2Pd5 | PBE-GGA | relaxed

Cell and atoms, written as extended XYZ:
```
18
Lattice="-7.693 3.609 2.814 7.693 -3.609 2.814 7.693 3.609 -2.814" Properties=species:S:1:pos:R:3 pbc="T T T"
Ti 0.851 0.717 0.000
Ti 6.842 0.717 0.000
Ti 0.851 2.893 2.814
Ti 6.842 2.893 2.814
In 3.846 -0.434 2.798
In 0.000 3.609 0.001
In 0.000 0.000 2.815
In 3.846 4.043 -0.016
Pd 1.534 5.415 1.404
Pd -1.534 1.806 4.218
Pd 11.539 0.410 -0.007
Pd -1.534 1.804 1.404
Pd 2.544 1.823 1.385
Pd 5.148 1.823 1.385
Pd 9.227 1.804 1.404
Pd -3.846 3.199 2.807
Pd -2.544 5.396 1.385
Pd 2.544 1.787 4.199
```

Results
volume = 312.51 Å³ per cell
energy relative to the elements = -0.295 eV per atom

=====

# 9
DyPuCd2 | PBE-GGA | relaxed

Cell and atoms, written as extended XYZ:
```
4
Lattice="5.383 0.000 0.000 0.000 5.383 0.000 0.000 0.000 3.678" Properties=species:S:1:pos:R:3 pbc="T T T"
Dy 0.000 0.000 0.000
Pu 2.692 2.692 0.000
Cd 0.000 2.692 1.839
Cd 2.692 0.000 1.839
```

Results
volume = 106.60 Å³ per cell
E above lowest polymorph = 0.00 eV/f.u.
energy relative to the elements = -0.123 eV per atom

=====

# 10
BaAc3Se4O12 | PBE-GGA | relaxed

Cell and atoms, written as extended XYZ:
```
20
Lattice="5.945 3.432 3.293 -5.945 3.432 3.293 0.000 -6.864 3.293" Properties=species:S:1:pos:R:3 pbc="T T T"
Ba 0.000 0.000 0.000
Ac -3.334 -1.090 3.293
Ac 2.611 -2.342 3.293
Ac 0.723 3.432 3.293
Se -2.427 -4.204 4.939
Se 0.000 0.000 4.939
Se -2.427 4.204 4.939
Se 4.855 0.000 4.939
O -1.357 -1.561 1.905
O -5.267 0.000 4.939
O -0.674 1.956 1.905
O -1.923 0.000 4.939
O 2.031 -0.394 1.905
O 2.634 -4.561 4.939
O 0.962 -1.666 4.939
O -0.674 -1.956 7.973
O 0.962 1.666 4.939
O -1.357 1.561 7.973
O 2.634 4.561 4.939
O 2.031 0.394 7.973
```

Results
raw formation energy = -38.9 kcal/mol of atoms
volume = 403.07 Å³ per cell

=====

# 11
Tb4TcAg3 | PBE-GGA | relaxed

Cell and atoms, written as extended XYZ:
```
8
Lattice="3.543 0.000 0.000 0.000 3.543 0.000 0.000 0.000 14.858" Properties=species:S:1:pos:R:3 pbc="T T T"
Tb 0.000 0.000 1.634
Tb 0.000 0.000 5.535
Tb 0.000 0.000 9.323
Tb 0.000 0.000 13.224
Tc 1.771 1.771 0.000
Ag 1.771 1.771 3.618
Ag 1.771 1.771 7.429
Ag 1.771 1.771 11.239
```

Results
volume = 186.46 Å³ per cell
energy relative to the elements = -0.228 eV per atom

=====

# 12
LiSm2HoTe5 | PBE-GGA | relaxed

Cell and atoms, written as extended XYZ:
```
18
Lattice="2.185 -9.313 0.000 2.185 9.313 0.000 0.000 0.000 13.199" Properties=species:S:1:pos:R:3 pbc="T T T"
Li 2.185 8.229 6.599
Li 2.185 -8.229 0.000
Sm 2.185 2.361 4.455
Sm 2.185 1.970 9.528
Sm 2.185 -1.970 2.929
Sm 2.185 -2.361 11.054
Ho 2.185 3.678 0.605
Ho 2.185 -3.678 7.204
Te 2.185 9.277 10.816
Te 2.185 6.737 0.461
Te 2.185 5.795 5.036
Te 2.185 5.260 9.305
Te 2.185 0.876 1.449
Te 2.185 -0.876 8.048
Te 2.185 -5.260 2.706
Te 2.185 -5.795 11.635
Te 2.185 -6.737 7.060
Te 2.185 -9.277 4.217
```

Results
raw formation energy = -29.8 kcal/mol of atoms
volume = 537.19 Å³ per cell